Compound: Li2ScCl
Source: Alexandria via LeMat-Bulk
Functional: PBE-GGA
Structure: optimized geometry

a b c (Å): 5.204 5.204 5.665
angles (deg): 65.05 65.05 35.05
Site moments in Bohr magnetons follow the coordinates.
Fractional coordinates of all 4 atoms:
Cl1 0.717 0.717 0.625  -0.01
Li1 0.065 0.065 0.019  0.00
Li2 0.270 0.270 0.242  0.00
Sc1 0.449 0.449 0.614  0.29

Calculated values
- Mass density: 1.98 g/cm³
- ΔE to the lowest computed polymorph: 170 meV/atom
- M_tot: 0.49 Bohr magnetons per cell
- Raw formation energy: -0.493 eV/atom